Record 1
This record from Alexandria describes crystalline SmYUO6 at its relaxed geometry. The functional is PBE-GGA.

Properties
- total magnetization (μB per cell) = 0.00
- crystal system = trigonal
- ΔE_f (raw) (eV per formula unit) = -29.959
- DFT total energy (eV per atom) = -9.131

Lattice parameters (Å, degrees): 5.8086 5.8086 9.5813 90.00 90.00 120.00
Sites, in units of the cell vectors:
Sm 0.0000 0.0000 0.0000
Sm 0.0000 0.0000 0.5000
Y 0.3333 0.6667 0.2500
Y 0.6667 0.3333 0.7500
U 0.3333 0.6667 0.7500
U 0.6667 0.3333 0.2500
O 0.0237 0.3593 0.6358
O 0.0237 0.6644 0.8642
O 0.3356 0.3593 0.8642
O 0.3356 0.9763 0.6358
O 0.3593 0.0237 0.1358
O 0.3593 0.3356 0.3642
O 0.6407 0.6644 0.6358
O 0.6407 0.9763 0.8642
O 0.6644 0.0237 0.3642
O 0.6644 0.6407 0.1358
O 0.9763 0.3356 0.1358
O 0.9763 0.6407 0.3642

=====

Record 2
This record from Alexandria describes crystalline VRh2Br at its relaxed geometry. The functional is PBE-GGA.

Properties
- total magnetization (μB per cell) = 0.00
- crystal system = tetragonal
- ΔE to the lowest computed polymorph (eV/atom) = 0.0000
- ΔE_f (raw) (eV per formula unit) = 1.841
- DFT total energy (eV per atom) = -5.913

Lattice parameters (Å, degrees): 6.3556 6.3556 6.3556 123.89 123.89 83.39
Sites, in units of the cell vectors:
V 0.0000 0.0000 0.0000
V 0.7500 0.2500 0.5000
Rh 0.0884 0.6250 0.9634
Rh 0.3750 0.3384 0.4634
Rh 0.6616 0.1250 0.0366
Rh 0.8750 0.9116 0.5366
Br 0.2500 0.7500 0.5000
Br 0.5000 0.5000 0.0000

=====

Record 3
This record from Alexandria describes crystalline Cs2SrTiO4 at its relaxed geometry. The functional is PBE-GGA.

Properties
- total magnetization (μB per cell) = 0.00
- crystal system = orthorhombic
- ΔE_f (raw) (eV per formula unit) = -17.712
- DFT total energy (eV per atom) = -6.104

Lattice parameters (Å, degrees): 13.7886 12.5801 7.1156 83.98 65.14 30.88
Sites, in units of the cell vectors:
Cs 0.0641 0.0641 0.6859
Cs 0.3141 0.3141 0.9359
Cs 0.6859 0.6859 0.0641
Cs 0.9359 0.9359 0.3141
Sr 0.1250 0.1250 0.1250
Sr 0.8750 0.8750 0.8750
Ti 0.3750 0.3750 0.3750
Ti 0.6250 0.6250 0.6250
O 0.0603 0.6149 0.5197
O 0.3052 0.5197 0.6149
O 0.3851 0.9397 0.6948
O 0.4803 0.6948 0.9397
O 0.5197 0.3052 0.0603
O 0.6149 0.0603 0.3052
O 0.6948 0.4803 0.3851
O 0.9397 0.3851 0.4803

=====

Record 4
This record from Alexandria describes crystalline Sm4TlRu2 at its relaxed geometry. The functional is PBE-GGA.

Properties
- ΔH_f (0 K) (eV per atom) = -0.2773
- total magnetization (μB per cell) = 0.00
- crystal system = triclinic
- DFT total energy (eV per atom) = -5.962

Lattice parameters (Å, degrees): 6.1130 8.0083 8.5650 117.26 99.44 96.09
Sites, in units of the cell vectors:
Sm 0.0000 0.0000 0.0000
Sm 0.0677 0.4755 0.9594
Sm 0.1887 0.2918 0.4987
Sm 0.2579 0.7303 0.4458
Sm 0.4980 0.1587 0.8755
Sm 0.5775 0.0860 0.2754
Sm 0.6624 0.6400 0.1660
Sm 0.7598 0.5754 0.5596
Tl 0.4231 0.7246 0.8418
Tl 0.8597 0.0178 0.5985
Ru 0.0805 0.8943 0.2606
Ru 0.3647 0.3687 0.2174
Ru 0.6404 0.3688 0.7189
Ru 0.8813 0.3608 0.2152